No. 1
LiAgSe2 after structural relaxation, computed with PBE.

Properties
- excess energy over the best structure of this formula in the dataset (eV per atom) = 0.1019
- E_form (uncorrected) (eV per atom) = -0.33
- M_tot (μB per formula unit) = 0.00

The structure in POSCAR format:
```
LiAgSe2
1.0
5.186 0.000 0.000
0.000 5.186 0.000
0.000 0.000 2.865
Li Ag Se
1 1 2
Direct
0.000 0.000 0.000
0.500 0.500 0.000
0.000 0.500 0.500
0.500 0.000 0.500
```

---

No. 2
Sm12MgTl6 after structural relaxation, computed with PBE.

Properties
- ΔE_f (eV per atom) = -0.052
- M_tot (μB per formula unit) = 0.00

The structure in POSCAR format:
```
Sm12MgTl6
1.0
7.345 4.241 3.309
-7.345 4.241 3.309
0.000 -8.481 3.309
Sm Mg Tl
12 1 6
Direct
0.027 0.330 0.886
0.081 0.423 0.330
0.114 0.973 0.670
0.330 0.081 0.423
0.330 0.886 0.027
0.423 0.330 0.081
0.577 0.670 0.919
0.670 0.114 0.973
0.670 0.919 0.577
0.886 0.027 0.330
0.919 0.577 0.670
0.973 0.670 0.114
0.000 0.000 0.000
0.226 0.351 0.658
0.342 0.774 0.649
0.351 0.658 0.226
0.649 0.342 0.774
0.658 0.226 0.351
0.774 0.649 0.342
```

---

No. 3
Ho5NiTe2 after structural relaxation, computed with PBE.

Properties
- excess energy over the best structure of this formula in the dataset (eV per atom) = 0.0000
- E_form (uncorrected) (eV per atom) = -0.74
- M_tot (μB per formula unit) = 0.00

The structure in POSCAR format:
```
Ho5NiTe2
1.0
8.158 0.000 0.000
0.000 13.116 0.000
0.000 0.000 3.997
Ho Ni Te
10 2 4
Direct
0.000 0.000 0.000
0.166 0.319 0.000
0.167 0.584 0.500
0.333 0.084 0.500
0.334 0.819 0.000
0.500 0.500 0.000
0.666 0.181 0.000
0.667 0.916 0.500
0.833 0.416 0.500
0.834 0.681 0.000
0.000 0.500 0.000
0.500 0.000 0.000
0.036 0.818 0.500
0.464 0.318 0.500
0.536 0.682 0.500
0.964 0.182 0.500
```

---

No. 4
Ce8Ir3RhI4 after structural relaxation, computed with PBE.

Properties
- E_form (uncorrected) (eV per atom) = -0.90
- M_tot (μB per formula unit) = 7.39

The structure in POSCAR format:
```
Ce8Ir3RhI4
1.0
4.163 2.404 7.976
-4.163 2.404 7.976
0.000 -4.807 7.976
Ce Ir Rh I
8 3 1 4
Direct
0.227 0.729 0.729
0.229 0.229 0.229
0.271 0.271 0.773
0.271 0.773 0.271
0.729 0.227 0.729
0.729 0.729 0.227
0.771 0.771 0.771
0.773 0.271 0.271
0.000 0.000 0.500
0.000 0.500 0.000
0.500 0.000 0.000
0.500 0.500 0.500
0.000 0.000 0.000
0.000 0.500 0.500
0.500 0.000 0.500
0.500 0.500 0.000
```